Ca2ScHgC: optimized geometry, GGA-PBE.

Calculated values
Formation energy = -0.17 eV per atom
Volume = 23.48 A^3/atom
Total energy = -20.69 eV for the cell shown

Unit cell a=5.099 b=5.099 c=4.515 alpha=90.00 beta=90.00 gamma=90.00
Fractional positions:
Ca (0.000, 0.500, 0.000)
Ca (0.500, 0.000, 0.000)
Sc (0.000, 0.000, 0.500)
Hg (0.500, 0.500, 0.500)
C (0.000, 0.000, 0.000)